No. 1
Tm3SnH2 | PBE | optimized geometry

The final energy comes out at -4.49 eV/atom. The spin magnetization is 0.00 μB/atom.

The space group is C2/m (No. 12) and the conventional cell measures 22.758, 3.523 and 6.174 Å, with angles of 90.00, 103.92 and 90.00 degrees. The inequivalent atoms are Tm at (0.033, 0.000, 0.275), Tm at (0.105, 0.500, 0.865), Tm at (0.235, 0.000, 0.218), Sn at (0.148, 0.500, 0.418), H at (0.057, 0.000, 0.949) and H at (0.208, 0.500, 0.014).



No. 2
USnH | PBE | optimized geometry

The final energy comes out at -6.26 eV/atom. The spin magnetization is 0.90 μB/atom.

The space group is P3m1 (No. 156) and the conventional cell measures 3.5363, 3.5363 and 5.2082 Å, with angles of 90.00, 90.00 and 120.00 degrees. The inequivalent atoms are U at (0.0000, 0.0000, 0.0000), Sn at (0.3333, 0.6667, 0.5036) and H at (0.6667, 0.3333, 0.1116).